Entry 1:
Compound: Cs2RbTl9
Source: Alexandria
Functional: PBE
Structure: optimized geometry

Cell lengths 6.8853, 6.8853, 11.7147 Å; angles 72.91, 72.91, 60.00 degrees
Closest atoms and distances in Å follow each position.
Atoms (fractional coordinates):
Rb 0.0000 0.0000 0.0000  18 Tl 3.98-4.36
Tl 0.9202 0.4181 0.2435  7 Tl 3.33-3.46
Tl 0.5819 0.5819 0.7565  7 Tl 3.33-3.46
Tl 0.6660 0.6660 0.0020  6 Tl 3.33-3.35
Tl 0.5000 0.5000 0.5000  6 Tl 3.46
Tl 0.0798 0.5819 0.7565  7 Tl 3.33-3.46
Tl 0.4181 0.9202 0.2435  7 Tl 3.33-3.46
Tl 0.3340 0.3340 0.9980  6 Tl 3.33-3.35
Tl 0.5819 0.0798 0.7565  7 Tl 3.33-3.46
Tl 0.4181 0.4181 0.2435  7 Tl 3.33-3.46
Cs 0.1435 0.1435 0.5696  12 Tl 4.01-4.10, 3 Cs 4.26
Cs 0.8565 0.8565 0.4304  12 Tl 4.01-4.10, 3 Cs 4.26

The calculated volume comes out at 452.42 Å³ per cell. As for the size of the total moment: 0.0000 μB per atom. Its energy of formation is -63 meV per atom. Its space-group type is No. 166.

***

Entry 2:
Compound: LuPaZn2
Source: Alexandria
Functional: PBE
Structure: optimized geometry

Cell lengths 4.9641, 4.9641, 4.9641 Å; angles 60.00, 60.00, 60.00 degrees
Closest atoms and distances in Å follow each position.
Atoms (fractional coordinates):
Zn 0.2500 0.2500 0.2500  4 Pa 3.04, 4 Lu 3.04
Zn 0.7500 0.7500 0.7500  4 Lu 3.04, 4 Pa 3.04
Lu 0.5000 0.5000 0.5000  8 Zn 3.04
Pa 0.0000 0.0000 0.0000  8 Zn 3.04

The calculated volume comes out at 86.50 Å³ per cell. As for the size of the total moment: 0.0002 μB per atom. Its energy of formation is -69 meV per atom. Its space-group type is No. 225. The value obtained for the relative energy among the computed polymorphs is 60 meV per atom.